# 1
A relaxed structure of CrMo2P. Source: Alexandria, functional PBE-GGA.

Cell lengths 2.9103, 3.9056, 4.9091 Å; angles 90.00, 90.92, 90.00 degrees
Space group P2/m (No. 10)
One atom of each set of equivalent atoms:
Cr  0.0000  0.0000  0.0000
Mo  0.4562  0.5000  0.2531
P  0.0000  0.0000  0.5000

***

# 2
A relaxed structure of CrMo2P. Source: Alexandria, functional PBE-GGA.

Cell lengths 5.4974, 7.6116, 2.8382 Å; angles 90.00, 109.56, 90.00 degrees
Space group C2/m (No. 12)
One atom of each set of equivalent atoms:
Cr  0.0000  0.0000  0.0000
Mo  0.2500  0.2500  0.5000
P  0.0000  0.5000  0.0000

***

# 3
A relaxed structure of CrMoP. Source: Alexandria, functional PBE-GGA.

Cell lengths 3.1572, 3.9231, 6.3716 Å; angles 90.00, 90.00, 90.00 degrees
Space group Pmm2 (No. 25)
One atom of each set of equivalent atoms:
Cr  0.0000  0.0000  0.0000
Cr  0.0000  0.5000  0.3375
Mo  0.5000  0.0000  0.6440
Mo  0.5000  0.5000  0.9951
P  0.0000  0.5000  0.6969
P  0.5000  0.0000  0.2741

***

# 4
A relaxed structure of CrMoP. Source: Alexandria, functional PBE-GGA.

Cell lengths 4.4410, 4.7083, 4.7302 Å; angles 61.69, 72.32, 71.93 degrees
Space group P1 (No. 1)
One atom of each set of equivalent atoms:
Cr  0.0000  0.0000  0.0000
Cr  0.3799  0.9230  0.4371
Mo  0.3781  0.4204  0.9414
Mo  0.7671  0.3465  0.3556
P  0.1515  0.4974  0.4872
P  0.5953  0.8785  0.8789

***

# 5
A relaxed structure of CrMoP. Source: Alexandria, functional PBE-GGA.

Cell lengths 5.1217, 3.0418, 5.6180 Å; angles 90.00, 110.15, 90.00 degrees
Space group Cm (No. 8)
One atom of each set of equivalent atoms:
Cr  0.0000  0.0000  0.0000
Mo  0.2378  0.0000  0.6157
P  0.2765  0.5000  0.2888

***

# 6
A relaxed structure of CrMoP. Source: Alexandria, functional PBE-GGA.

Cell lengths 2.9978, 4.3941, 6.5720 Å; angles 73.25, 80.36, 77.63 degrees
Space group P1 (No. 1)
One atom of each set of equivalent atoms:
Cr  0.0000  0.0000  0.0000
Cr  0.1876  0.8409  0.6479
Mo  0.0034  0.5239  0.3810
Mo  0.5744  0.5120  0.0005
P  0.3837  0.0040  0.2799
P  0.5196  0.2466  0.7015

***

Calculated electronic total energy (eV per atom), listed in the same order as above: -9.1392, -9.0645, -8.9595, -8.8924, -8.8124, -8.8226
Calculated formation enthalpy at 0 K (eV/atom), listed in the same order as above: 0.03, 0.11, -0.34, -0.27, -0.19, -0.20